[1]
The following is a DFT calculation (PBE) of LiAc2AlIn6 after structural relaxation.

Geometry as CIF:
```
data_LiAc2AlIn6
_chemical_formula_sum 'Li6 Ac12 Al6 In36'
_space_group_name_H-M_alt 'R -3 m'
_space_group_IT_number 166
_space_group_name_Hall '-R 3 2"'
_cell_length_a 7.1325
_cell_length_b 7.1325
_cell_length_c 37.4709
_cell_angle_alpha 90.00
_cell_angle_beta 90.00
_cell_angle_gamma 120.00
loop_
_atom_site_label
_atom_site_type_symbol
_atom_site_fract_x
_atom_site_fract_y
_atom_site_fract_z
Li1 Li 0.0000 0.0000 0.0000
Li2 Li 0.0000 0.0000 0.5000
Ac1 Ac 0.0000 0.0000 0.1097
Ac2 Ac 0.0000 0.0000 0.2847
Al1 Al 0.0000 0.0000 0.4267
In1 In 0.0350 0.5175 0.2982
In2 In 0.0541 0.5270 0.8660
```


[2]
The following is a DFT calculation (PBE) of Ac2MgAl4In3 after structural relaxation.

Geometry as CIF:
```
data_Ac2MgAl4In3
_chemical_formula_sum 'Ac2 Mg1 Al4 In3'
_space_group_name_H-M_alt 'P -4 m 2'
_space_group_IT_number 115
_cell_length_a 4.647
_cell_length_b 4.647
_cell_length_c 11.774
_cell_angle_alpha 90.00
_cell_angle_beta 90.00
_cell_angle_gamma 90.00
loop_
_space_group_symop_operation_xyz
'x,y,z'
'y,-x,-z'
'-x,-y,z'
'-y,x,-z'
'-x,y,z'
'-y,-x,-z'
'x,-y,z'
'y,x,-z'
loop_
_atom_site_label
_atom_site_type_symbol
_atom_site_fract_x
_atom_site_fract_y
_atom_site_fract_z
Ac1 Ac 0.000 0.500 0.250
Mg1 Mg 0.000 0.000 0.500
Al1 Al 0.000 0.000 0.000
Al2 Al 0.000 0.500 0.637
Al3 Al 0.500 0.500 0.000
In1 In 0.000 0.500 0.867
In2 In 0.500 0.500 0.500
```


The E results, record by record, are as follows: -3.26, -3.57 eV/atom.
The formation energy results, record by record, are as follows: -0.2308, -0.2662 eV/atom.